Below is a relaxed structure of SmCd2Pd9, with properties calculated at the PBE level.

It has space group P4/mmm (No. 123), with a = 4.087 Å, b = 4.087 Å, c = 12.217 Å, α = 90.00°, β = 90.00° and γ = 90.00°. The asymmetric unit holds Sm at (0.000, 0.000, 0.000), Cd at (0.000, 0.000, 0.339), Pd at (0.000, 0.500, 0.174), Pd at (0.000, 0.500, 0.500), Pd at (0.500, 0.500, 0.000) and Pd at (0.500, 0.500, 0.336).

For the energy of formation, the calculation gives -0.42 eV/atom. Its density of states at the Fermi level is 1.222 states/eV/atom. The volume is 204.0 Å³/f.u. As for the raw total energy: -58.285 eV per cell. For the density, the calculation gives 10.85 g/cm³.

***

Below is a relaxed structure of SmCd9Pd3, with properties calculated at the PBE level.

It has space group C2/m (No. 12), with a = 5.671 Å, b = 13.941 Å, c = 7.409 Å, α = 90.00°, β = 112.36° and γ = 90.00°. The asymmetric unit holds Sm at (0.000, 0.000, 0.000), Cd at (0.000, 0.000, 0.500), Cd at (0.101, 0.390, 0.212), Cd at (0.175, 0.174, 0.334), Pd at (0.000, 0.500, 0.500) and Pd at (0.250, 0.250, 0.000).

For the energy of formation, the calculation gives -0.30 eV/atom. Its density of states at the Fermi level is 0.580 states/eV/atom. The volume is 270.8 Å³/f.u. As for the raw total energy: -64.817 eV per cell. For the density, the calculation gives 9.08 g/cm³.

***

Below is a relaxed structure of SmCd2Pd, with properties calculated at the PBE level.

It has space group R-3m (No. 166, hexagonal axes), with a = 3.2257 Å, b = 3.2257 Å, c = 31.7206 Å, α = 90.00°, β = 90.00° and γ = 120.00°. The asymmetric unit holds Sm at (0.0000, 0.0000, 0.0000), Cd at (0.0000, 0.0000, 0.1002) and Pd at (0.0000, 0.0000, 0.5000).

For the energy of formation, the calculation gives 0.04 eV/atom. Its density of states at the Fermi level is 0.703 states/eV/atom. The volume is 95.3 Å³/f.u. As for the raw total energy: -34.728 eV per cell. For the density, the calculation gives 8.39 g/cm³.

***

Below is a relaxed structure of Sm6Cd5Pd, with properties calculated at the PBE level.

It has space group C2/m (No. 12), with a = 16.787 Å, b = 7.589 Å, c = 5.318 Å, α = 90.00°, β = 108.36° and γ = 90.00°. The asymmetric unit holds Sm at (0.000, 0.233, 0.000), Sm at (0.159, 0.238, 0.659), Cd at (0.000, 0.500, 0.500), Cd at (0.168, 0.500, 0.167), Cd at (0.181, 0.000, 0.181) and Pd at (0.000, 0.000, 0.500).

For the energy of formation, the calculation gives -0.39 eV/atom. Its density of states at the Fermi level is 0.881 states/eV/atom. The volume is 321.5 Å³/f.u. As for the raw total energy: -85.537 eV per cell. For the density, the calculation gives 8.11 g/cm³.

***

Below is a relaxed structure of SmCd4Pd2, with properties calculated at the PBE level.

It has space group P4_2/mnm (No. 136), with a = 8.388 Å, b = 8.388 Å, c = 4.322 Å, α = 90.00°, β = 90.00° and γ = 90.00°. The asymmetric unit holds Sm at (0.000, 0.000, 0.000), Cd at (0.102, 0.345, 0.500) and Pd at (0.185, 0.815, 0.500).

For the energy of formation, the calculation gives -0.41 eV/atom. Its density of states at the Fermi level is 0.497 states/eV/atom. The volume is 152.1 Å³/f.u. As for the raw total energy: -43.305 eV per cell. For the density, the calculation gives 8.88 g/cm³.

***

Below is a relaxed structure of Sm3Cd2Pd4, with properties calculated at the PBE level.

It has space group C2/m (No. 12), with a = 9.945 Å, b = 4.474 Å, c = 9.163 Å, α = 90.00°, β = 92.33° and γ = 90.00°. The asymmetric unit holds Sm at (0.000, 0.000, 0.000), Sm at (0.129, 0.500, 0.385), Cd at (0.173, 0.500, 0.781), Pd at (0.078, 0.000, 0.626) and Pd at (0.207, 0.500, 0.086).

For the energy of formation, the calculation gives -0.67 eV/atom. Its density of states at the Fermi level is 0.469 states/eV/atom. The volume is 203.7 Å³/f.u. As for the raw total energy: -85.662 eV per cell. For the density, the calculation gives 8.98 g/cm³.

***

Below is a relaxed structure of Sm12CdPd6, with properties calculated at the PBE level.

It has space group R-3 (No. 148, hexagonal axes), with a = 14.4318 Å, b = 14.4318 Å, c = 9.1291 Å, α = 90.00°, β = 90.00° and γ = 120.00°. The asymmetric unit holds Sm at (0.0397, 0.2530, 0.4284), Sm at (0.0578, 0.1780, 0.8252), Cd at (0.0000, 0.0000, 0.5000) and Pd at (0.0715, 0.4986, 0.7816).

For the energy of formation, the calculation gives -0.43 eV/atom. Its density of states at the Fermi level is 0.938 states/eV/atom. The volume is 548.9 Å³/f.u. As for the raw total energy: -290.490 eV per cell. For the density, the calculation gives 7.73 g/cm³.

***

Below is a relaxed structure of Sm4Cd3Pd, with properties calculated at the PBE level.

It has space group P4/mmm (No. 123), with a = 3.747 Å, b = 3.747 Å, c = 15.050 Å, α = 90.00°, β = 90.00° and γ = 90.00°. The asymmetric unit holds Sm at (0.000, 0.000, 0.111), Sm at (0.000, 0.000, 0.371), Cd at (0.500, 0.500, 0.244), Cd at (0.500, 0.500, 0.500) and Pd at (0.500, 0.500, 0.000).

For the energy of formation, the calculation gives -0.44 eV/atom. Its density of states at the Fermi level is 0.906 states/eV/atom. The volume is 211.3 Å³/f.u. As for the raw total energy: -30.308 eV per cell. For the density, the calculation gives 8.21 g/cm³.

***

Below is a relaxed structure of Sm2CdPd, with properties calculated at the PBE level.

It has space group Fm-3m (No. 225), with a = 7.393 Å, b = 7.393 Å, c = 7.393 Å, α = 90.00°, β = 90.00° and γ = 90.00°. The asymmetric unit holds Sm at (0.250, 0.250, 0.250), Cd at (0.000, 0.000, 0.000) and Pd at (0.000, 0.000, 0.500).

For the energy of formation, the calculation gives -0.50 eV/atom. Its density of states at the Fermi level is 0.667 states/eV/atom. The volume is 101.0 Å³/f.u. As for the raw total energy: -70.176 eV per cell. For the density, the calculation gives 8.54 g/cm³.

***

Below is a relaxed structure of Sm3Cd4Pd4, with properties calculated at the PBE level.

It has space group Immm (No. 71), with a = 4.111 Å, b = 8.019 Å, c = 15.039 Å, α = 90.00°, β = 90.00° and γ = 90.00°. The asymmetric unit holds Sm at (0.000, 0.000, 0.000), Sm at (0.000, 0.500, 0.119), Cd at (0.000, 0.307, 0.330), Pd at (0.000, 0.000, 0.233) and Pd at (0.000, 0.184, 0.500).

For the energy of formation, the calculation gives -0.59 eV/atom. Its density of states at the Fermi level is 0.558 states/eV/atom. The volume is 247.9 Å³/f.u. As for the raw total energy: -90.078 eV per cell. For the density, the calculation gives 8.88 g/cm³.

***

Below is a relaxed structure of SmCd2Pd, with properties calculated at the PBE level.

It has space group P4/mmm (No. 123), with a = 4.215 Å, b = 4.215 Å, c = 5.125 Å, α = 90.00°, β = 90.00° and γ = 90.00°. The asymmetric unit holds Sm at (0.000, 0.000, 0.000), Cd at (0.000, 0.500, 0.500) and Pd at (0.500, 0.500, 0.000).

For the energy of formation, the calculation gives -0.37 eV/atom. Its density of states at the Fermi level is 0.733 states/eV/atom. The volume is 91.1 Å³/f.u. As for the raw total energy: -13.237 eV per cell. For the density, the calculation gives 8.78 g/cm³.

***

Below is a relaxed structure of Sm3Cd2Pd3, with properties calculated at the PBE level.

It has space group P6_3/mcm (No. 193), with a = 8.5732 Å, b = 8.5732 Å, c = 5.8555 Å, α = 90.00°, β = 90.00° and γ = 120.00°. The asymmetric unit holds Sm at (0.0000, 0.2727, 0.2500), Cd at (0.3333, 0.6667, 0.0000) and Pd at (0.0000, 0.3882, 0.7500).

For the energy of formation, the calculation gives -0.65 eV/atom. Its density of states at the Fermi level is 0.693 states/eV/atom. The volume is 186.4 Å³/f.u. As for the raw total energy: -73.466 eV per cell. For the density, the calculation gives 8.87 g/cm³.